A crystal of In2ReTe relaxed with PBEsol, computed with SCAN.

Cell: 3.207 3.207 8.567 Å, 90.00 90.00 90.00°
Fractional coordinates of all 4 atoms:
Te 0.500 0.500 0.681
In 0.000 0.000 0.017
In 0.500 0.500 0.293
Re 0.000 0.000 0.509

Summary:
Energy in eV per atom: -43.452
Fermi-level density of states in states/eV/cell: 1.76
Formation energy from raw total energies in meV/atom: 328